DFT (PBE) results for a geometry-optimized Cr2OsC structure.

Its energy of formation is -73 meV per atom. As for the volume: 10.86 Å³ per atom.

The space group is R3m (No. 160, hexagonal axes) and the conventional cell measures 2.7890, 2.7890 and 19.3410 Å, with angles of 90.00, 90.00 and 120.00 degrees. The distinct sites, in fractional coordinates, are Cr at (0.0000, 0.0000, 0.0000), Cr at (0.0000, 0.0000, 0.2192), Os at (0.0000, 0.0000, 0.7783) and C at (0.0000, 0.0000, 0.6114).

***

DFT (PBE) results for a geometry-optimized LiHfB structure.

As for the polymorph energy (0 for the lowest one): 0.828 eV/f.u. Its energy of formation is -80 meV per atom. As for the volume: 13.96 Å³ per atom.

The space group is F-43m (No. 216) and the conventional cell measures 5.5130, 5.5130 and 5.5130 Å, with angles of 90.00, 90.00 and 90.00 degrees. The distinct sites, in fractional coordinates, are Li at (0.0000, 0.0000, 0.0000), Hf at (0.0000, 0.0000, 0.5000) and B at (0.2500, 0.2500, 0.2500).

***

Question: Which of these has the lowest energy of formation?
Answer: LiHfB

***

Question: Which of these has the lowest volume?
Answer: Cr2OsC

***

Question: Look up the volume of the first one.
Answer: 10.86 Å³ per atom

***

Question: Which of these has the lowest energy of formation?
Answer: LiHfB